Entry 1:
Below is a geometry-optimized Tb6In3Os structure, with properties calculated at the PBE level.

a b c (Å): 5.258 9.309 11.411
angles (deg): 107.57 90.00 90.00
Fractional positions:
Tb 0.750 0.308 0.332
In 0.250 0.513 0.380
In 0.250 0.774 0.976
Tb 0.750 0.894 0.147
In 0.750 0.226 0.024
Tb 0.750 0.543 0.916
Tb 0.750 0.877 0.846
Tb 0.250 0.123 0.154
Tb 0.250 0.692 0.668
Tb 0.250 0.215 0.495
Tb 0.250 0.853 0.331
Tb 0.750 0.147 0.669
In 0.250 0.405 0.780
Os 0.250 0.961 0.595
In 0.750 0.595 0.220
Os 0.750 0.039 0.405
Tb 0.250 0.106 0.853
Tb 0.250 0.457 0.084
Tb 0.750 0.785 0.505
In 0.750 0.487 0.620

Results
* crystal system: monoclinic
* space-group type: P2_1/m (11)
* total energy: -5.060 eV/atom



Entry 2:
Below is a geometry-optimized Ac2Ni9Sn structure, with properties calculated at the PBE level.

a b c (Å): 5.023 5.023 9.029
angles (deg): 73.85 73.85 60.00
Site moments in Bohr magnetons follow the coordinates.
Fractional positions:
Sn 0.000 0.000 0.000  0.00
Ni 0.668 0.668 0.997  0.06
Ni 0.423 0.423 0.234  0.03
Ni 0.423 0.920 0.234  0.03
Ni 0.332 0.332 0.003  0.06
Ni 0.920 0.423 0.234  0.03
Ni 0.577 0.577 0.766  0.03
Ni 0.500 0.500 0.500  0.00
Ni 0.080 0.577 0.766  0.03
Ac 0.134 0.134 0.599  0.00
Ni 0.577 0.080 0.766  0.03
Ac 0.866 0.866 0.401  0.00

Results
* crystal system: trigonal
* space-group type: R-3m (166)
* total energy: -5.430 eV/atom



Entry 3:
Below is a geometry-optimized NpVRe structure, with properties calculated at the PBE level.

a b c (Å): 3.018 3.018 10.856
angles (deg): 90.00 90.00 90.00
Site moments in Bohr magnetons follow the coordinates.
Fractional positions:
V 0.500 0.000 0.715  -0.26
V 0.000 0.500 0.285  -0.26
Np 0.500 0.000 0.105  2.96
Re 0.000 0.500 0.577  0.03
Re 0.500 0.000 0.423  0.03
Np 0.000 0.500 0.895  2.96

Results
* crystal system: tetragonal
* space-group type: P4/nmm (129)
* ΔE to the lowest computed polymorph: 0 kJ/mol of formula units



Entry 4:
Below is a geometry-optimized Ba5Ga2Bi6 structure, with properties calculated at the PBE level.

a b c (Å): 4.884 13.856 15.614
angles (deg): 90.00 90.00 90.00
Fractional positions:
Ga 0.000 0.678 0.707
Ba 0.500 0.168 0.976
Bi 0.500 0.341 0.191
Bi 0.000 0.842 0.594
Bi 0.000 0.158 0.406
Bi 0.500 0.659 0.809
Ba 0.500 0.405 0.748
Ba 0.500 0.500 0.000
Bi 0.000 0.009 0.098
Bi 0.000 0.509 0.402
Bi 0.500 0.841 0.309
Ba 0.500 0.832 0.024
Ga 0.000 0.822 0.207
Ba 0.500 0.000 0.500
Bi 0.500 0.159 0.691
Ba 0.500 0.668 0.524
Ba 0.500 0.332 0.476
Bi 0.000 0.991 0.902
Bi 0.000 0.491 0.598
Bi 0.000 0.342 0.906
Ba 0.500 0.905 0.752
Bi 0.000 0.658 0.094
Ga 0.000 0.178 0.793
Ba 0.500 0.595 0.252
Ba 0.500 0.095 0.248
Ga 0.000 0.322 0.293

Results
* crystal system: orthorhombic
* space-group type: Pbam (55)
* total energy: -3.677 eV/atom



Entry 5:
Below is a geometry-optimized KAlZn2 structure, with properties calculated at the PBE level.

a b c (Å): 2.849 4.036 7.891
angles (deg): 90.00 90.00 90.00
Fractional positions:
Zn 0.500 0.500 0.246
Zn 0.000 0.000 0.076
K 0.500 0.500 0.756
Al 0.000 0.000 0.422

Results
* crystal system: orthorhombic
* space-group type: Pmm2 (25)
* total energy: -1.683 eV/atom



Entry 6:
Below is a geometry-optimized Sn3Pd6Au structure, with properties calculated at the PBE level.

a b c (Å): 6.055 8.022 8.022
angles (deg): 107.07 90.00 90.00
Fractional positions:
Pd 0.629 0.278 0.722
Pd 0.820 0.437 0.057
Sn 0.795 0.589 0.411
Sn 0.925 0.713 0.960
Pd 0.320 0.563 0.943
Pd 0.320 0.057 0.437
Pd 0.110 0.337 0.278
Pd 0.277 0.959 0.041
Sn 0.295 0.411 0.589
Pd 0.610 0.663 0.722
Au 0.573 0.785 0.215
Sn 0.925 0.040 0.287
Pd 0.110 0.722 0.663
Sn 0.425 0.960 0.713
Pd 0.610 0.278 0.337
Sn 0.425 0.287 0.040
Au 0.073 0.215 0.785
Pd 0.820 0.943 0.563
Pd 0.777 0.041 0.959
Pd 0.129 0.722 0.278

Results
* crystal system: orthorhombic
* space-group type: Cmc2_1 (36)
* total energy: -4.996 eV/atom



Entry 7:
Below is a geometry-optimized TiSn4S2 structure, with properties calculated at the PBE level.

a b c (Å): 5.295 5.295 8.556
angles (deg): 71.97 71.97 90.00
Fractional positions:
Ti 0.000 0.000 0.000
Sn 0.828 0.828 0.344
Sn 0.500 0.000 0.000
Sn 0.000 0.500 0.000
Sn 0.172 0.172 0.656
S 0.322 0.322 0.356
S 0.678 0.678 0.644

Results
* crystal system: tetragonal
* space-group type: I4/mmm (139)
* ΔE_f (raw): 0.123 eV per atom



Entry 8:
Below is a geometry-optimized TlTeAuS2 structure, with properties calculated at the PBE level.

a b c (Å): 4.943 7.792 8.296
angles (deg): 107.85 90.00 90.00
Fractional positions:
Te 0.651 0.000 0.250
S 0.243 0.729 0.476
Tl 0.781 0.500 0.250
Au 0.000 0.000 0.000
S 0.757 0.271 0.524
S 0.757 0.729 0.976
Tl 0.219 0.500 0.750
Te 0.349 0.000 0.750
Au 0.000 0.000 0.500
S 0.243 0.271 0.024

Results
* crystal system: monoclinic
* space-group type: P2/c (13)
* ΔE_f (raw): -0.080 eV per atom



Entry 9:
Below is a geometry-optimized PaIN structure, with properties calculated at the PBE level.

a b c (Å): 3.966 3.967 12.041
angles (deg): 77.91 98.07 120.01
Site moments in Bohr magnetons follow the coordinates.
Fractional positions:
I 0.363 0.145 0.607  0.00
N 0.995 0.615 0.366  0.00
I 0.273 0.499 0.981  0.00
Pa 0.968 0.721 0.178  0.42
N 0.641 0.030 0.222  0.00
Pa 0.668 0.924 0.410  -0.42

Results
* crystal system: triclinic
* space-group type: P-1 (2)
* ΔE_f (raw): -1.521 eV per atom



Entry 10:
Below is a geometry-optimized Ho2CdRe structure, with properties calculated at the PBE level.

a b c (Å): 3.072 3.072 11.390
angles (deg): 82.25 82.25 60.00
Fractional positions:
Ho 0.918 0.918 0.246
Ho 0.082 0.082 0.754
Re 0.000 0.000 0.000
Cd 0.500 0.500 0.500

Results
* crystal system: trigonal
* space-group type: R-3m (166)
* ΔE to the lowest computed polymorph: 284 kJ/mol of formula units



Entry 11:
Below is a geometry-optimized In2CuTe structure, with properties calculated at the PBE level.

a b c (Å): 7.146 7.146 4.155
angles (deg): 73.09 73.09 29.93
Fractional positions:
Te 0.250 0.250 0.250
Cu 0.750 0.750 0.750
In 0.435 0.435 0.565
In 0.065 0.065 0.935

Results
* crystal system: orthorhombic
* space-group type: Immm (71)
* ΔE_f (raw): 0.052 eV per atom



Entry 12:
Below is a geometry-optimized K2CdSe structure, with properties calculated at the PBE level.

a b c (Å): 3.912 4.311 8.449
angles (deg): 90.00 90.00 90.00
Fractional positions:
K 0.000 0.000 0.058
Se 0.500 0.500 0.250
Cd 0.500 0.500 0.750
K 0.000 0.000 0.442

Results
* crystal system: orthorhombic
* space-group type: Pmmm (47)
* ΔE_f (raw): -0.545 eV per atom
* ΔE to the lowest computed polymorph: 43 kJ/mol of formula units



Entry 13:
Below is a geometry-optimized YTlHg4 structure, with properties calculated at the PBE level.

a b c (Å): 4.428 4.436 9.115
angles (deg): 90.00 90.00 89.99
Fractional positions:
Hg 0.501 0.997 0.258
Tl 0.501 0.498 0.998
Hg 0.001 0.497 0.259
Y 0.001 0.997 0.498
Hg 0.501 0.997 0.738
Hg 0.001 0.497 0.738

Results
* crystal system: tetragonal
* space-group type: P4/mmm (123)
* ΔE to the lowest computed polymorph: 65 kJ/mol of formula units



Entry 14:
Below is a geometry-optimized EuHoNiAg structure, with properties calculated at the PBE level.

a b c (Å): 5.051 5.051 5.051
angles (deg): 60.00 60.00 60.00
Site moments in Bohr magnetons follow the coordinates.
Fractional positions:
Eu 0.000 0.000 0.000  6.77
Ho 0.500 0.500 0.500  0.06
Ag 0.250 0.250 0.250  0.01
Ni 0.750 0.750 0.750  -0.05

Results
* crystal system: cubic
* space-group type: F-43m (216)
* total energy: -6.052 eV/atom



Entry 15:
Below is a geometry-optimized Pm6SiTe2Se3 structure, with properties calculated at the PBE level.

a b c (Å): 4.274 8.646 9.644
angles (deg): 102.14 102.80 90.00
Fractional positions:
Pm 0.657 0.067 0.314
Pm 0.004 0.768 0.007
Pm 0.344 0.398 0.688
Pm 0.656 0.602 0.312
Se 0.830 0.161 0.659
Si 0.500 0.000 0.000
Pm 0.343 0.933 0.686
Pm 0.996 0.232 0.993
Te 0.830 0.659 0.661
Se 0.500 0.500 0.000
Se 0.170 0.839 0.341
Te 0.170 0.341 0.339

Results
* crystal system: monoclinic
* space-group type: C2/m (12)
* ΔE_f (raw): -1.552 eV per atom



Entry 16:
Below is a geometry-optimized ReTeIO2 structure, with properties calculated at the PBE level.

a b c (Å): 4.047 4.047 7.282
angles (deg): 90.00 90.00 90.00
Site moments in Bohr magnetons follow the coordinates.
Fractional positions:
O 0.000 0.500 0.000  0.01
I 0.000 0.000 0.500  0.02
Te 0.000 0.000 0.000  -0.01
Re 0.500 0.500 0.500  2.90
O 0.500 0.000 0.000  0.01

Results
* crystal system: tetragonal
* space-group type: P4/mmm (123)
* ΔE_f (raw): 0.716 eV per atom
* ΔE to the lowest computed polymorph: 428 kJ/mol of formula units



Entry 17:
Below is a geometry-optimized SrY2P structure, with properties calculated at the PBE level.

a b c (Å): 6.558 6.558 3.853
angles (deg): 90.00 90.00 123.62
Site moments in Bohr magnetons follow the coordinates.
Fractional positions:
Sr 0.000 0.000 0.500  0.07
Y 0.334 0.666 0.000  0.16
Y 0.666 0.334 0.000  0.16
P 0.500 0.500 0.500  -0.01

Results
* crystal system: orthorhombic
* space-group type: Cmmm (65)
* total energy: -5.527 eV/atom



| no. | volume (Å³/cell) |
| --- | --- |
| 1 | 532.5 |
| 2 | 186.8 |
| 3 | 98.9 |
| 4 | 1056.6 |
| 5 | 90.7 |
| 6 | 372.5 |
| 7 | 215.7 |
| 8 | 304.2 |
| 9 | 160.3 |
| 10 | 92.0 |
| 11 | 101.0 |
| 12 | 142.5 |
| 13 | 179.0 |
| 14 | 91.1 |
| 15 | 339.4 |
| 16 | 119.3 |
| 17 | 138.0 |